No. 1
Ac6Ge2Te3S PBE optimized geometry; total magnetization = 0.00 μB/cell; formation energy (no corrections) = -1.406 eV per atom
1.0
10.201 -2.306 0.000
10.201 2.306 0.000
-2.450 0.000 9.025
Ac Ge Te S
6 2 3 1
Direct
0.006 0.006 0.235
0.327 0.327 0.432
0.339 0.339 0.903
0.661 0.661 0.097
0.673 0.673 0.568
0.994 0.994 0.765
0.164 0.164 0.328
0.836 0.836 0.672
0.166 0.166 0.833
0.500 0.500 0.500
0.834 0.834 0.167
0.500 0.500 0.000

=====

No. 2
Ta3SI7 PBE optimized geometry; total magnetization = 0.00 μB/cell; formation energy (no corrections) = -0.523 eV per atom
1.0
7.624 0.000 0.000
-3.812 6.603 0.000
0.000 0.000 7.383
Ta S I
3 1 7
Direct
0.076 0.538 0.000
0.462 0.538 0.000
0.462 0.924 0.000
0.333 0.667 0.767
0.165 0.330 0.254
0.165 0.835 0.254
0.329 0.164 0.789
0.667 0.333 0.192
0.670 0.835 0.254
0.836 0.164 0.789
0.836 0.671 0.789

=====

No. 3
Nd2Sn3Rh PBE optimized geometry; total magnetization = 0.00 μB/cell; calculated formation energy = -0.701 eV/atom
1.0
5.624 -2.376 0.000
5.624 2.376 0.000
-4.798 0.000 5.738
Nd Sn Rh
2 3 1
Direct
0.000 0.000 0.000
0.117 0.117 0.599
0.375 0.375 0.182
0.447 0.447 0.668
0.730 0.730 0.393
0.743 0.743 0.040

=====

No. 4
Ce2YTaN5 PBE optimized geometry; total magnetization = 2.16 μB/cell; formation energy (no corrections) = -1.366 eV per atom
1.0
1.752 -6.972 0.000
1.752 6.972 0.000
0.000 0.000 10.549
Ce Y Ta N
4 2 2 10
Direct
0.111 0.889 0.500
0.141 0.859 0.083
0.859 0.141 0.583
0.889 0.111 0.000
0.220 0.780 0.804
0.780 0.220 0.304
0.477 0.523 0.272
0.523 0.477 0.772
0.052 0.948 0.858
0.280 0.720 0.474
0.329 0.671 0.175
0.384 0.616 0.828
0.484 0.516 0.592
0.516 0.484 0.092
0.616 0.384 0.328
0.671 0.329 0.675
0.720 0.280 0.974
0.948 0.052 0.358

=====

No. 5
Ac3MgCd PBE optimized geometry; total magnetization = 0.00 μB/cell; calculated formation energy = -0.053 eV/atom; energy relative to the lowest polymorph listed for this composition = 0.086 eV per atom
1.0
8.565 0.000 0.000
0.000 7.500 0.000
-2.739 0.000 11.451
Ac Mg Cd
12 4 4
Direct
0.125 0.164 0.410
0.125 0.336 0.910
0.243 0.523 0.636
0.243 0.977 0.136
0.319 0.019 0.726
0.319 0.481 0.226
0.681 0.519 0.774
0.681 0.981 0.274
0.757 0.023 0.864
0.757 0.477 0.364
0.875 0.664 0.090
0.875 0.836 0.590
0.452 0.708 0.970
0.452 0.792 0.470
0.548 0.208 0.530
0.548 0.292 0.030
0.090 0.725 0.374
0.090 0.775 0.874
0.910 0.225 0.126
0.910 0.275 0.626

=====

No. 6
DyThSeN PBE optimized geometry; total magnetization = 0.00 μB/cell; formation energy (no corrections) = -1.419 eV per atom
1.0
4.237 0.000 0.000
0.000 4.237 0.000
0.000 0.000 9.790
Dy Th Se N
2 2 2 2
Direct
0.250 0.750 0.000
0.750 0.250 0.000
0.250 0.250 0.389
0.750 0.750 0.611
0.250 0.250 0.787
0.750 0.750 0.213
0.250 0.750 0.500
0.750 0.250 0.500

=====

No. 7
Ir2RhSe PBE optimized geometry; total magnetization = 0.00 μB/cell; formation energy (no corrections) = 0.446 eV per atom
1.0
-2.007 2.007 3.785
2.007 -2.007 3.785
2.007 2.007 -3.785
Ir Rh Se
2 1 1
Direct
0.000 0.000 0.000
0.750 0.250 0.500
0.250 0.750 0.500
0.500 0.500 0.000

=====

No. 8
La4Cr PBE optimized geometry; total magnetization = 3.24 μB/cell; calculated formation energy = 0.200 eV/atom; energy relative to the lowest polymorph listed for this composition = 0.000 eV per atom
1.0
-4.630 4.630 1.914
4.630 -4.630 1.914
4.630 4.630 -1.914
La Cr
4 1
Direct
0.083 0.268 0.351
0.268 0.917 0.185
0.732 0.083 0.815
0.917 0.732 0.649
0.500 0.500 0.000